Below is BaScGaCl2 after structural relaxation, with properties calculated at the PBE-GGA level.

Output
The calculation puts the theoretical density at 3.2 g/cm3. Its density of states at the Fermi level is 3.9 states/eV/cell.

The structure in CIF format:
```
data_BaScGaCl2
_chemical_formula_sum 'Ba1 Sc1 Ga1 Cl2'
_space_group_name_H-M_alt 'P 4/m m m'
_space_group_IT_number 123
_space_group_name_Hall '-P 4 2'
_cell_length_a 5.509
_cell_length_b 5.509
_cell_length_c 5.508
_cell_angle_alpha 90.00
_cell_angle_beta 90.00
_cell_angle_gamma 90.00
loop_
_atom_site_label
_atom_site_fract_x
_atom_site_fract_y
_atom_site_fract_z
Ba1 0.000 0.000 0.000
Sc1 0.500 0.500 0.000
Ga1 0.500 0.500 0.500
Cl1 0.000 0.500 0.500
```

---

Below is BaGa2TcCl after structural relaxation, with properties calculated at the PBE-GGA level.

Output
The calculation puts the theoretical density at 4.9 g/cm3. Its density of states at the Fermi level is 2.5 states/eV/cell.

The structure in CIF format:
```
data_BaGa2TcCl
_chemical_formula_sum 'Ba1 Ga2 Tc1 Cl1'
_space_group_name_H-M_alt 'P 4/m m m'
_space_group_IT_number 123
_space_group_name_Hall '-P 4 2'
_cell_length_a 4.808
_cell_length_b 4.808
_cell_length_c 6.041
_cell_angle_alpha 90.00
_cell_angle_beta 90.00
_cell_angle_gamma 90.00
loop_
_atom_site_label
_atom_site_fract_x
_atom_site_fract_y
_atom_site_fract_z
Ba1 0.000 0.000 0.000
Ga1 0.000 0.500 0.500
Tc1 0.000 0.000 0.500
Cl1 0.500 0.500 0.000
```

---

Below is Ba2TiGaCl after structural relaxation, with properties calculated at the PBE-GGA level.

Output
The calculation puts the theoretical density at 3.7 g/cm3. Its density of states at the Fermi level is 5.8 states/eV/cell.

The structure in CIF format:
```
data_Ba2TiGaCl
_chemical_formula_sum 'Ba2 Ti1 Ga1 Cl1'
_space_group_name_H-M_alt 'P 4/m m m'
_space_group_IT_number 123
_space_group_name_Hall '-P 4 2'
_cell_length_a 6.492
_cell_length_b 6.492
_cell_length_c 4.599
_cell_angle_alpha 90.00
_cell_angle_beta 90.00
_cell_angle_gamma 90.00
loop_
_atom_site_label
_atom_site_fract_x
_atom_site_fract_y
_atom_site_fract_z
Ba1 0.000 0.500 0.000
Ti1 0.000 0.000 0.000
Ga1 0.500 0.500 0.500
Cl1 0.000 0.000 0.500
```

---

Below is BaTlGa2Cl8 after structural relaxation, with properties calculated at the PBE-GGA level.

Output
The calculation puts the theoretical density at 3.2 g/cm3. Its density of states at the Fermi level is 20.6 states/eV/cell.

The structure in CIF format:
```
data_BaTlGa2Cl8
_chemical_formula_sum 'Ba3 Tl3 Ga6 Cl24'
_space_group_name_H-M_alt 'R -3'
_space_group_IT_number 148
_space_group_name_Hall '-R 3'
_cell_length_a 6.8963
_cell_length_b 6.8963
_cell_length_c 28.4858
_cell_angle_alpha 90.00
_cell_angle_beta 90.00
_cell_angle_gamma 120.00
loop_
_atom_site_label
_atom_site_fract_x
_atom_site_fract_y
_atom_site_fract_z
Ba1 0.0000 0.0000 0.0000
Tl1 0.0000 0.0000 0.5000
Ga1 0.0000 0.0000 0.2429
Cl1 0.0000 0.0000 0.1641
Cl2 0.0055 0.3762 0.0634
```

---

Number 1: E_form (uncorrected) -223 kJ/mol of formula units. Number 2: E_form (uncorrected) -195 kJ/mol of formula units. Number 3: E_form (uncorrected) 24 kJ/mol of formula units. Number 4: E_form (uncorrected) -1516 kJ/mol of formula units.